1.
Below is a relaxed Ac2HgIrPb crystal, with properties calculated at the PBE level.

Unit cell a=8.873 b=4.369 c=9.082 alpha=90.00 beta=104.32 gamma=90.00
Space group P2_1/m (No. 11)
Inequivalent atoms, fractional coordinates:
Ac  0.138  0.250  0.382 x2
Ac  0.189  0.250  0.967 x2
Hg  0.271  0.750  0.689 x2
Ir  0.168  0.750  0.183 x2
Pb  0.478  0.750  0.350 x2


2.
Below is a relaxed Ac6Hg3Ir2Pd crystal, with properties calculated at the PBE level.

Unit cell a=7.582 b=13.098 c=8.545 alpha=90.00 beta=107.04 gamma=90.00
Space group C2/m (No. 12)
Inequivalent atoms, fractional coordinates:
Ac  0.223  0.000  0.202 x4
Ac  0.240  0.328  0.206 x8
Hg  0.000  0.000  0.500 x2
Hg  0.000  0.340  0.500 x4
Ir  0.000  0.167  0.000 x4
Pd  0.000  0.500  0.000 x2


| no. | E_tot (eV per atom) | spin magnetization (μB per formula unit) | energy of formation from the pure elements (eV/atom) |
| --- | --- | --- | --- |
| 1 | -4.675 | 0.0 | -0.46 |
| 2 | -4.667 | 0.0 | -0.63 |